[1]
A relaxed structure of LaPrGeRu. Source: Alexandria via LeMat-Bulk, functional PBE.

Cell: 3.920 4.405 11.604 Å, 90.00 90.00 90.00°
Space group Amm2 (No. 38)
Unique sites:
La: 0.000 0.000 0.000 (multiplicity 2)
Pr: 0.500 0.000 0.276 (multiplicity 2)
Ge: 0.000 0.000 0.695 (multiplicity 2)
Ru: 0.500 0.000 0.551 (multiplicity 2)

Properties
electronic total energy = -6.4503 eV/atom
DOS at the Fermi energy = 4.87 states/eV/cell
formation energy = -0.5503 eV per atom

***

[2]
A relaxed structure of LiDyPa2N4. Source: Alexandria via LeMat-Bulk, functional PBE.

Cell: 5.814 3.535 6.073 Å, 90.00 109.31 90.00°
Space group P2/m (No. 10)
Unique sites:
Li: 0.000 0.000 0.000 (multiplicity 1)
Dy: 0.000 0.500 0.500 (multiplicity 1)
Pa: 0.500 0.000 0.500 (multiplicity 1)
Pa: 0.500 0.500 0.000 (multiplicity 1)
N: 0.269 0.000 0.758 (multiplicity 2)
N: 0.291 0.500 0.269 (multiplicity 2)

Properties
electronic total energy = -8.7551 eV/atom
DOS at the Fermi energy = 3.20 states/eV/cell
formation energy (no corrections) = -1.404 eV per atom

***

[3]
A relaxed structure of TbYTh3. Source: Alexandria via LeMat-Bulk, functional PBE.

Cell: 9.930 11.849 6.008 Å, 90.00 90.00 90.00°
Space group Imma (No. 74)
Unique sites:
Tb: 0.000 0.250 0.200 (multiplicity 4)
Y: 0.250 0.250 0.750 (multiplicity 4)
Th: 0.000 0.000 0.500 (multiplicity 4)
Th: 0.170 0.000 0.000 (multiplicity 8)

Properties
electronic total energy = -6.2811 eV/atom
DOS at the Fermi energy = 39.21 states/eV/cell
formation energy = 0.3896 eV per atom

***

[4]
A relaxed structure of Ce5In. Source: Alexandria via LeMat-Bulk, functional PBE.

Cell: 5.582 17.142 3.272 Å, 90.00 90.00 90.00°
Space group Cmmm (No. 65)
Unique sites:
Ce: 0.000 0.000 0.000 (multiplicity 2)
Ce: 0.000 0.152 0.500 (multiplicity 4)
Ce: 0.000 0.328 0.000 (multiplicity 4)
In: 0.000 0.500 0.500 (multiplicity 2)

Properties
electronic total energy = -5.4541 eV/atom
DOS at the Fermi energy = 32.81 states/eV/cell
formation energy = -0.0528 eV per atom
offset from the most stable computed form = 1.5 kJ per mole of atoms

***

[5]
A relaxed structure of RbCuS4. Source: Alexandria via LeMat-Bulk, functional PBE.

Cell: 8.254 8.254 10.561 Å, 90.00 90.00 90.00°
Space group I4_1/a (No. 88, origin choice 2)
Unique sites:
Rb: 0.000 0.250 0.125 (multiplicity 4)
Cu: 0.000 0.250 0.625 (multiplicity 4)
S: 0.066 0.143 0.433 (multiplicity 16)

Properties
electronic total energy = -3.7245 eV/atom
DOS at the Fermi energy = 20.81 states/eV/cell
formation energy (no corrections) = -0.129 eV per atom

***

[6]
A relaxed structure of SmCO4. Source: Alexandria via LeMat-Bulk, functional PBE.

Cell: 4.649 6.837 6.434 Å, 90.00 100.55 90.00°
Space group P2_1/m (No. 11)
Unique sites:
Sm: 0.057 0.250 0.174 (multiplicity 2)
C: 0.078 0.250 0.716 (multiplicity 2)
O: 0.038 0.090 0.819 (multiplicity 4)
O: 0.154 0.250 0.538 (multiplicity 2)
O: 0.444 0.750 0.847 (multiplicity 2)

Properties
electronic total energy = -7.6067 eV/atom
DOS at the Fermi energy = 1.47 states/eV/cell
formation energy (no corrections) = -1.977 eV per atom
offset from the most stable computed form = 0.6 kJ per mole of atoms

***

[7]
A relaxed structure of ScZn2Br. Source: Alexandria via LeMat-Bulk, functional PBE.

Cell: 3.685 3.685 6.263 Å, 90.00 90.00 90.00°
Space group P4/mmm (No. 123)
Unique sites:
Sc: 0.000 0.000 0.000 (multiplicity 1)
Zn: 0.500 0.500 0.216 (multiplicity 2)
Br: 0.000 0.000 0.500 (multiplicity 1)

Properties
electronic total energy = -2.7971 eV/atom
DOS at the Fermi energy = 2.46 states/eV/cell
formation energy (no corrections) = -0.159 eV per atom
offset from the most stable computed form = 22.7 kJ per mole of atoms

***

[8]
A relaxed structure of AcPr5Nd5. Source: Alexandria via LeMat-Bulk, functional PBE.

Cell: 10.554 6.618 12.585 Å, 90.00 112.59 90.00°
Space group Cm (No. 8)
Unique sites:
Ac: 0.000 0.000 0.000 (multiplicity 2)
Pr: 0.015 0.000 0.290 (multiplicity 2)
Pr: 0.092 0.500 0.801 (multiplicity 2)
Pr: 0.181 0.500 0.104 (multiplicity 2)
Pr: 0.297 0.000 0.902 (multiplicity 2)
Pr: 0.431 0.500 0.693 (multiplicity 2)
Nd: 0.091 0.500 0.522 (multiplicity 2)
Nd: 0.215 0.000 0.604 (multiplicity 2)
Nd: 0.301 0.266 0.403 (multiplicity 4)
Nd: 0.399 0.000 0.206 (multiplicity 2)

Properties
electronic total energy = -4.5700 eV/atom
DOS at the Fermi energy = 36.14 states/eV/cell
formation energy = 0.1432 eV per atom
offset from the most stable computed form = 0.0 kJ per mole of atoms